{
  "formula": "KReNF2",
  "functional": "PBE",
  "state": "relaxed",
  "mass_density_g_cm3": 6.3,
  "final_energy_ev_per_cell": -31.12,
  "vol_a3_per_cell": 73,
  "relative_energy_ev_per_atom": 0.000,
  "lattice_angstrom": [[4.365, 0.000, 0.000], [0.000, 4.365, 0.000], [0.000, 0.000, 3.818]],
  "species": ["K", "Re", "N", "F", "F"],
  "frac_coords": [[0.000, 0.000, 0.000], [0.500, 0.500, 0.500], [0.500, 0.500, 0.000], [0.000, 0.500, 0.500], [0.500, 0.000, 0.500]]
}

{
  "formula": "KReNF2",
  "functional": "PBE",
  "state": "relaxed",
  "mass_density_g_cm3": 4.6,
  "final_energy_ev_per_cell": -19.85,
  "vol_a3_per_cell": 101,
  "relative_energy_ev_per_atom": 2.254,
  "lattice_angstrom": [[4.494, 0.000, 0.000], [0.000, 4.494, 0.000], [0.000, 0.000, 4.977]],
  "species": ["K", "Re", "N", "F", "F"],
  "frac_coords": [[0.000, 0.000, 0.000], [0.500, 0.500, 0.500], [0.000, 0.000, 0.500], [0.000, 0.500, 0.000], [0.500, 0.000, 0.000]]
}

{
  "formula": "KRhN2F",
  "functional": "PBE",
  "state": "relaxed",
  "mass_density_g_cm3": 2.7,
  "final_energy_ev_per_cell": -16.97,
  "vol_a3_per_cell": 118,
  "relative_energy_ev_per_atom": 2.058,
  "lattice_angstrom": [[5.039, 0.000, 0.000], [0.000, 5.039, 0.000], [0.000, 0.000, 4.647]],
  "species": ["K", "Rh", "N", "N", "F"],
  "frac_coords": [[0.000, 0.000, 0.000], [0.500, 0.500, 0.500], [0.000, 0.500, 0.000], [0.500, 0.000, 0.000], [0.000, 0.000, 0.500]]
}

{
  "formula": "KRhNF2",
  "functional": "PBE",
  "state": "relaxed",
  "mass_density_g_cm3": 2.9,
  "final_energy_ev_per_cell": -17.15,
  "vol_a3_per_cell": 111,
  "relative_energy_ev_per_atom": 1.757,
  "lattice_angstrom": [[4.764, 0.000, 0.000], [0.000, 4.764, 0.000], [0.000, 0.000, 4.912]],
  "species": ["K", "Rh", "N", "F", "F"],
  "frac_coords": [[0.000, 0.000, 0.000], [0.500, 0.500, 0.500], [0.000, 0.000, 0.500], [0.000, 0.500, 0.000], [0.500, 0.000, 0.000]]
}

{
  "formula": "KRhN2F",
  "functional": "PBE",
  "state": "relaxed",
  "mass_density_g_cm3": 3.9,
  "final_energy_ev_per_cell": -27.25,
  "vol_a3_per_cell": 81,
  "relative_energy_ev_per_atom": 0.000,
  "lattice_angstrom": [[3.765, 0.000, 0.000], [0.000, 3.765, 0.000], [0.000, 0.000, 5.701]],
  "species": ["K", "Rh", "N", "N", "F"],
  "frac_coords": [[0.000, 0.000, 0.000], [0.500, 0.500, 0.500], [0.000, 0.500, 0.500], [0.500, 0.000, 0.500], [0.500, 0.500, 0.000]]
}

{
  "formula": "KRhNF2",
  "functional": "PBE",
  "state": "relaxed",
  "mass_density_g_cm3": 4.3,
  "final_energy_ev_per_cell": -25.93,
  "vol_a3_per_cell": 74,
  "relative_energy_ev_per_atom": 0.000,
  "lattice_angstrom": [[4.486, 0.000, 0.000], [0.000, 4.486, 0.000], [0.000, 0.000, 3.692]],
  "species": ["K", "Rh", "N", "F", "F"],
  "frac_coords": [[0.000, 0.000, 0.000], [0.500, 0.500, 0.500], [0.500, 0.500, 0.000], [0.000, 0.500, 0.500], [0.500, 0.000, 0.500]]
}